1.
Pr3Dy4Te8 | the Alexandria database | GGA-PBE | optimized geometry; size of the total moment = 0.0 μB per cell; space group = No. 12; N(E_F) = 7.0 states/eV/cell; formation energy (no corrections) = -1.399 eV per atom
1.0
6.2550 -6.2599 0.0000
6.2550 6.2599 0.0000
-6.2287 0.0000 6.2640
Pr Dy Te
3 4 8
Direct
0.0000 0.0000 0.0000
0.0000 0.5000 0.0000
0.5000 0.0000 0.0000
0.0000 0.5000 0.5000
0.5000 0.0000 0.5000
0.5000 0.5000 0.0000
0.5000 0.5000 0.5000
0.2483 0.7517 0.5000
0.2526 0.2526 0.5091
0.2533 0.2533 0.9973
0.2546 0.7454 0.0000
0.7454 0.2546 0.0000
0.7467 0.7467 0.0027
0.7474 0.7474 0.4909
0.7517 0.2483 0.5000

2.
PrDyTe2 | the Alexandria database | GGA-PBE | optimized geometry; energy relative to the lowest polymorph listed for this composition = 24.6 meV/atom; size of the total moment = 0.0 μB per cell; space group = No. 12; N(E_F) = 2.4 states/eV/cell; formation energy (no corrections) = -1.365 eV per atom
1.0
3.8085 -2.2083 0.0000
3.8085 2.2083 0.0000
-2.5648 0.0000 7.3744
Pr Dy Te
1 1 2
Direct
0.0000 0.0000 0.0000
0.5000 0.5000 0.5000
0.2450 0.2450 0.7350
0.7550 0.7550 0.2650

3.
PrDy2Te4 | the Alexandria database | GGA-PBE | optimized geometry; energy relative to the lowest polymorph listed for this composition = 6.8 meV/atom; size of the total moment = 0.0 μB per cell; space group = No. 63; N(E_F) = 5.0 states/eV/cell; formation energy (no corrections) = -1.393 eV per atom
1.0
2.1571 -7.1943 0.0000
2.1571 7.1943 0.0000
0.0000 0.0000 15.0287
Pr Dy Te
2 4 8
Direct
0.1248 0.8752 0.7500
0.8752 0.1248 0.2500
0.3687 0.6313 0.5676
0.3687 0.6313 0.9324
0.6313 0.3687 0.0676
0.6313 0.3687 0.4324
0.0000 0.0000 0.0000
0.0000 0.0000 0.5000
0.2752 0.7248 0.1198
0.2752 0.7248 0.3802
0.4592 0.5408 0.7500
0.5408 0.4592 0.2500
0.7248 0.2752 0.6198
0.7248 0.2752 0.8802

Q: Which value of formation energy (no corrections) does entry 1 give?
A: -1.399 eV per atom